(1)
Computed, not measured: a geometry-optimized TbUZn structure at the GGA-PBE level of DFT.

Output
DOS at the Fermi energy	4.724	states/eV/f.u.
spin magnetization	0.0001	μB/atom
uncorrected energy	-5.620	eV per atom

```
6
Lattice="-1.601 -0.633 -4.377 -2.739 -0.900 1.132 -4.337 8.345 0.379" Properties=species:S:1:pos:R:3 pbc="T T T"
Tb -4.745 1.011 -2.202
U -6.737 6.916 -2.328
U -1.940 -0.105 -0.539
Zn -2.976 2.966 -0.604
Zn -5.701 3.845 -2.262
Tb -3.932 5.800 -0.665
```

(2)
Computed, not measured: a geometry-optimized NbGa2Mo2 structure at the GGA-PBE level of DFT.

Output
E above lowest polymorph	0.0000	eV/atom
DOS at the Fermi energy	4.666	states/eV/f.u.
spin magnetization	0.0000	μB/atom
uncorrected energy	-7.669	eV per atom

```
10
Lattice="-0.643 -3.339 5.975 5.561 -3.753 -1.499 1.958 2.303 1.498" Properties=species:S:1:pos:R:3 pbc="T T T"
Ga 4.613 -4.519 0.918
Ga 1.990 -1.824 0.203
Mo 2.265 -2.837 5.199
Mo 1.731 -0.590 2.443
Ga 0.305 -2.574 3.558
Nb 2.459 -3.546 2.238
Mo 4.611 -1.953 0.774
Nb 0.000 0.000 0.000
Mo 5.145 -4.200 3.531
Ga 2.929 -5.269 4.272
```

(3)
Computed, not measured: a geometry-optimized Tb2Sc8In3 structure at the GGA-PBE level of DFT.

Output
DOS at the Fermi energy	15.757	states/eV/f.u.
spin magnetization	0.1392	μB/atom
uncorrected energy	-5.166	eV per atom

```
13
Lattice="5.994 0.000 0.000 2.997 5.191 0.000 2.997 1.730 11.097" Properties=species:S:1:pos:R:3 pbc="T T T"
Sc 7.484 4.321 3.705
Tb 5.994 3.461 10.175
In 0.000 0.000 0.000
Sc 2.997 1.730 2.083
Sc 4.504 4.321 3.705
Sc 5.994 5.182 7.392
Sc 8.991 5.191 9.015
Tb 5.994 3.461 0.922
Sc 5.994 1.740 3.705
In 2.997 1.730 4.905
In 8.991 5.191 6.192
Sc 7.484 2.600 7.392
Sc 4.504 2.600 7.392
```

(4)
Computed, not measured: a geometry-optimized Cr2SnRh2 structure at the GGA-PBE level of DFT.

Output
DOS at the Fermi energy	4.437	states/eV/f.u.
spin magnetization	0.8288	μB/atom
uncorrected energy	-7.510	eV per atom

```
10
Lattice="7.316 0.000 0.000 0.000 7.316 0.000 0.000 0.000 2.903" Properties=species:S:1:pos:R:3 pbc="T T T"
Rh 4.621 0.963 0.000
Cr 4.846 6.128 1.451
Cr 6.128 2.470 1.451
Cr 2.470 1.188 1.451
Rh 6.353 4.621 0.000
Sn 0.000 0.000 0.000
Rh 0.963 2.695 0.000
Rh 2.695 6.353 0.000
Cr 1.188 4.846 1.451
Sn 3.658 3.658 0.000
```

(5)
Computed, not measured: a geometry-optimized CdAgPb structure at the GGA-PBE level of DFT.

Output
DOS at the Fermi energy	0.507	states/eV/f.u.
spin magnetization	0.0000	μB/atom
uncorrected energy	-2.460	eV per atom

```
6
Lattice="-3.398 2.674 3.454 -5.192 -0.167 1.909 0.102 -3.863 6.984" Properties=species:S:1:pos:R:3 pbc="T T T"
Cd -2.534 -3.172 6.561
Pb -3.116 0.284 5.309
Pb -5.372 -1.640 7.039
Ag -3.065 -1.843 9.160
Ag -5.423 0.487 3.188
Cd -5.954 1.816 5.786
```

(6)
Computed, not measured: a geometry-optimized YTl3Cr structure at the GGA-PBE level of DFT.

Output
E above lowest polymorph	0.0000	eV/atom
DOS at the Fermi energy	3.259	states/eV/f.u.
spin magnetization	0.3877	μB/atom
uncorrected energy	-4.246	eV per atom

```
5
Lattice="5.157 0.000 0.000 0.000 5.157 0.000 0.000 0.000 5.157" Properties=species:S:1:pos:R:3 pbc="T T T"
Tl 0.000 2.579 0.000
Y 2.579 2.579 2.579
Cr 0.000 0.000 0.000
Tl 2.579 0.000 0.000
Tl 0.000 0.000 2.579
```